The following is a PBE calculation of a geometry-optimized Cd2PbBr2 structure, from Alexandria via LeMat-Bulk.

Structure (POSCAR):
```
Cd2PbBr2
1.0
-4.548 -1.652 -0.754
1.756 -4.519 -0.692
-1.979 -4.236 5.313
Br Cd Pb
2 2 1
Cartesian
-0.810 -5.920 1.949
-3.962 -4.486 1.918
-1.525 -3.340 0.611
-3.247 -7.067 3.256
0.000 0.000 0.000
```

- Raw total energy: -9.46 eV/cell
- Uncorrected formation energy: -56.0 kJ/mol of formula units
- Space-group type: I4/mmm
- Energy relative to the lowest polymorph listed for this composition: 197 meV per atom
- Density of states at the Fermi level: 3.9 states/eV/cell